The following is a DFT calculation (PBE) of a geometry-optimized Pb6Se5 structure.

Structure (POSCAR):
```
Pb6Se5
1.0
-2.9111 6.8396 0.5614
-2.6745 3.4214 -6.0600
-7.3598 -0.5414 1.4148
Pb Se
6 5
direct
0.2392 0.0000 0.2514 Pb
0.3957 0.6824 0.7619 Pb
0.0780 0.3176 0.7619 Pb
0.9220 0.6824 0.2381 Pb
0.6043 0.3176 0.2381 Pb
0.7608 0.0000 0.7486 Pb
0.1738 0.6525 0.5000 Se
0.5000 0.0000 0.5000 Se
0.3338 0.3324 0.0000 Se
0.8262 0.3475 0.5000 Se
0.6662 0.6676 0.0000 Se
```

Values from the calculation:
For the raw formation energy, the calculation gives -0.42 eV per atom. The calculation puts the density of states at the Fermi level at 0.12 states/eV/atom. The calculation puts the raw total energy at -4.028 eV/atom.